No. 1
LiAg8Te6 PBE optimized geometry; crystal system = trigonal; magnetic moment = 0.0 μB per formula unit; volume = 25.00 Å³/atom; formation energy from raw total energies = -0.108 eV per atom
1.0
3.7810 2.1829 7.5711
-3.7810 2.1829 7.5711
0.0000 -4.3659 7.5711
Li Ag Te
1 8 6
Direct
0.0000 0.0000 0.0000 Li
0.1328 0.7995 0.4690 Ag
0.2005 0.5310 0.8672 Ag
0.3329 0.3329 0.3329 Ag
0.4690 0.1328 0.7995 Ag
0.5310 0.8672 0.2005 Ag
0.6671 0.6671 0.6671 Ag
0.7995 0.4690 0.1328 Ag
0.8672 0.2005 0.5310 Ag
0.0716 0.4070 0.7379 Te
0.2621 0.9284 0.5930 Te
0.4070 0.7379 0.0716 Te
0.5930 0.2621 0.9284 Te
0.7379 0.0716 0.4070 Te
0.9284 0.5930 0.2621 Te



No. 2
Li2AgTe2 PBE optimized geometry; crystal system = tetragonal; magnetic moment = 0.0 μB per formula unit; volume = 23.04 Å³/atom; formation energy from raw total energies = -0.483 eV per atom
1.0
8.2330 0.0000 0.0000
0.0000 8.2330 0.0000
0.0000 0.0000 3.3992
Li Ag Te
4 2 4
Direct
0.1260 0.3740 0.0000 Li
0.3740 0.8740 0.0000 Li
0.6260 0.1260 0.0000 Li
0.8740 0.6260 0.0000 Li
0.0000 0.0000 0.5000 Ag
0.5000 0.5000 0.5000 Ag
0.1775 0.6775 0.5000 Te
0.3225 0.1775 0.5000 Te
0.6775 0.8225 0.5000 Te
0.8225 0.3225 0.5000 Te



No. 3
LiAg4Te5 PBE optimized geometry; crystal system = tetragonal; magnetic moment = 0.0 μB per formula unit; volume = 24.95 Å³/atom; formation energy from raw total energies = -0.109 eV per atom
1.0
-4.6110 4.6110 2.9338
4.6110 -4.6110 2.9338
4.6110 4.6110 -2.9338
Li Ag Te
1 4 5
Direct
0.0000 0.0000 0.0000 Li
0.2071 0.4097 0.6002 Ag
0.4097 0.8095 0.2026 Ag
0.6069 0.2071 0.7974 Ag
0.8095 0.6069 0.3998 Ag
0.1163 0.7053 0.8046 Te
0.3117 0.1163 0.4110 Te
0.5009 0.5009 0.0000 Te
0.7053 0.9007 0.5890 Te
0.9007 0.3117 0.1954 Te



No. 4
LiAgTe PBE optimized geometry; crystal system = monoclinic; magnetic moment = 0.0 μB per formula unit; volume = 25.49 Å³/atom; formation energy from raw total energies = -0.486 eV per atom
1.0
4.0476 -2.3225 0.0000
4.0476 2.3225 0.0000
-0.8251 0.0000 8.1341
Li Ag Te
2 2 2
Direct
0.0303 0.0303 0.2647 Li
0.9697 0.9697 0.7353 Li
0.3236 0.3236 0.9106 Ag
0.6764 0.6764 0.0894 Ag
0.3621 0.3621 0.2622 Te
0.6379 0.6379 0.7378 Te